An optimized crystal structure of Rb2SrInSb2, computed with PBE.

## Properties
- uncorrected energy (eV/cell) = -35.483
- magnetic moment (μB/atom) = 0.00
- Fermi-level density of states (states/eV per atom) = 0.414
- crystal system = orthorhombic
- ΔE_f (raw) (eV/atom) = -0.52

Unit cell a=10.225 b=10.225 c=10.225 alpha=136.98 beta=63.61 gamma=135.51
Element x y z (fractional)
Rb  0.179  0.228  0.408
Rb  0.321  0.728  0.049
Rb  0.679  0.272  0.951
Rb  0.821  0.772  0.592
Sr  0.250  0.750  0.500
Sr  0.750  0.250  0.500
In  0.250  0.250  0.000
In  0.750  0.750  0.000
Sb  0.103  0.766  0.869
Sb  0.397  0.266  0.664
Sb  0.603  0.734  0.336
Sb  0.897  0.234  0.131